Entry 1:
Pr3Cu4Sn4 | GGA-PBE | relaxed

Summary:
electronic total energy	-4.780	eV/atom
magnetic moment	0.0	μB/cell
volume	247	Å³ per cell
E_form	-0.53	eV/atom

Unit cell a=8.6771 b=8.6771 c=8.6771 alpha=149.12 beta=132.01 gamma=58.16
With the nearest neighbours (Å) after each atom.
Fractional coordinates of all 11 atoms:
Pr (0.8667, 0.8667, 0.0000)  6 Sn 3.25-3.38, 6 Cu 3.26-3.28
Pr (0.1333, 0.1333, 0.0000)  6 Sn 3.25-3.38, 6 Cu 3.26-3.28
Pr (0.5000, 0.0000, 0.5000)  6 Sn 3.13-3.28
Sn (0.7164, 0.2164, 0.5000)  6 Cu 2.75-2.85
Sn (0.2836, 0.7836, 0.5000)  6 Cu 2.75-2.85
Sn (0.7996, 0.5000, 0.2996)  2 Cu 2.68, 1 Sn 2.83
Sn (0.2004, 0.5000, 0.7004)  2 Cu 2.68, 1 Sn 2.83
Cu (0.1495, 0.3322, 0.8173)  1 Cu 2.58, 4 Sn 2.68-2.85
Cu (0.4851, 0.6678, 0.8173)  1 Cu 2.58, 4 Sn 2.68-2.85
Cu (0.5149, 0.3322, 0.1827)  1 Cu 2.58, 4 Sn 2.68-2.85
Cu (0.8505, 0.6678, 0.1827)  1 Cu 2.58, 4 Sn 2.68-2.85

---

Entry 2:
Ho3Co2Si4 | GGA-PBE | relaxed

Summary:
electronic total energy	-6.291	eV/atom
formation energy (no corrections)	-775	meV/atom
magnetic moment	0.0	μB/cell
ΔE to the lowest computed polymorph	0	meV per atom
volume	157	Å³ per cell

Unit cell a=4.0229 b=5.6057 c=7.8104 alpha=105.67 beta=90.00 gamma=111.03
With the nearest neighbours (Å) after each atom.
Fractional coordinates of all 9 atoms:
Si (0.7176, 0.4352, 0.0797)  1 Co 2.34, 2 Si 2.56
Si (0.2824, 0.5648, 0.9203)  1 Co 2.34, 2 Si 2.56
Si (0.1039, 0.2078, 0.4042)  3 Co 2.27-2.34
Si (0.8961, 0.7922, 0.5958)  3 Co 2.27-2.34
Ho (0.0000, 0.0000, 0.0000)  8 Si 2.97-3.19
Ho (0.3827, 0.7654, 0.3066)  4 Co 2.87-3.14, 7 Si 2.89-3.00
Ho (0.6173, 0.2346, 0.6934)  4 Co 2.87-3.14, 7 Si 2.89-3.00
Co (0.3072, 0.6143, 0.6317)  4 Si 2.27-2.34
Co (0.6928, 0.3857, 0.3683)  4 Si 2.27-2.34

---

Entry 3:
Gd2NiRu | GGA-PBE | relaxed

Summary:
electronic total energy	-10.839	eV/atom
magnetic moment	14.2	μB/cell
volume	87	Å³ per cell
E_form	-0.03	eV/atom

Unit cell a=3.6839 b=3.6839 c=7.7118 alpha=76.18 beta=76.18 gamma=60.00
With the nearest neighbours (Å) after each atom.
Fractional coordinates of all 4 atoms:
Gd (0.7512, 0.7512, 0.7463)  3 Ni 2.80, 3 Ru 2.84
Gd (0.2488, 0.2488, 0.2537)  3 Ni 2.80, 3 Ru 2.84
Ni (0.5000, 0.5000, 0.5000)  6 Gd 2.80
Ru (0.0000, 0.0000, 0.0000)  6 Gd 2.84

---

Entry 4:
Zn2InSe | GGA-PBE | relaxed

Summary:
electronic total energy	-2.084	eV/atom
formation energy (no corrections)	109	meV/atom
magnetic moment	0.0	μB/cell
ΔE to the lowest computed polymorph	229	meV per atom
volume	85	Å³ per cell

Unit cell a=4.7061 b=4.2582 c=4.2582 alpha=90.00 beta=90.00 gamma=90.00
With the nearest neighbours (Å) after each atom.
Fractional coordinates of all 4 atoms:
In (0.5000, 0.5000, 0.0000)  4 Se 3.01, 8 Zn 3.17
Zn (0.0000, 0.0000, 0.0000)  4 Zn 3.01, 4 In 3.17, 4 Se 3.17
Zn (0.0000, 0.5000, 0.5000)  4 Zn 3.01, 4 Se 3.17, 4 In 3.17
Se (0.5000, 0.0000, 0.5000)  4 In 3.01, 8 Zn 3.17

---

Entry 5:
Ca2CdSnRh | GGA-PBE | relaxed

Summary:
electronic total energy	-3.621	eV/atom
magnetic moment	0.0	μB/cell
volume	151	Å³ per cell
E_form	-0.37	eV/atom

Unit cell a=5.4594 b=5.4594 c=5.0519 alpha=90.00 beta=90.00 gamma=90.00
With the nearest neighbours (Å) after each atom.
Fractional coordinates of all 5 atoms:
Ca (0.5000, 0.0000, 0.0000)  2 Rh 2.73
Ca (0.0000, 0.5000, 0.0000)  2 Rh 2.73
Rh (0.0000, 0.0000, 0.0000)  2 Sn 2.53, 4 Ca 2.73
Cd (0.5000, 0.5000, 0.5000)  8 Ca 3.72, 4 Sn 3.86
Sn (0.0000, 0.0000, 0.5000)  2 Rh 2.53

---

Entry 6:
La3PbBr | GGA-PBE | relaxed

Summary:
electronic total energy	-4.716	eV/atom
formation energy (no corrections)	-683	meV/atom
magnetic moment	0.0	μB/cell
ΔE to the lowest computed polymorph	0	meV per atom
volume	671	Å³ per cell

Unit cell a=6.7297 b=9.4870 c=11.7954 alpha=116.93 beta=90.00 gamma=90.00
With the nearest neighbours (Å) after each atom.
Fractional coordinates of all 20 atoms:
Br (0.1802, 0.5471, 0.4123)  6 La 2.99-3.23
Br (0.8198, 0.4529, 0.5877)  6 La 2.99-3.23
Br (0.3199, 0.0471, 0.9123)  6 La 2.99-3.23
Br (0.6802, 0.9529, 0.0877)  6 La 2.99-3.23
Pb (0.7078, 0.5154, 0.1634)  8 La 3.34-3.65
Pb (0.7922, 0.0154, 0.6634)  8 La 3.34-3.65
Pb (0.2078, 0.9846, 0.3366)  8 La 3.34-3.65
Pb (0.2922, 0.4846, 0.8366)  8 La 3.34-3.65
La (0.5977, 0.7587, 0.7929)  3 Br 3.08-3.19
La (0.2116, 0.5744, 0.1510)  1 Br 3.21, 4 Pb 3.40-3.50, 1 La 3.50
La (0.4010, 0.3382, 0.5280)  2 Br 2.99-3.23, 2 Pb 3.34
La (0.7116, 0.9256, 0.3490)  1 Br 3.21, 4 Pb 3.40-3.50, 1 La 3.50
La (0.0977, 0.7413, 0.7071)  3 Br 3.08-3.19
La (0.0990, 0.8382, 0.0280)  2 Br 2.99-3.23, 2 Pb 3.34
La (0.4023, 0.2413, 0.2071)  3 Br 3.08-3.19
La (0.2884, 0.0744, 0.6510)  1 Br 3.21, 4 Pb 3.40-3.50, 1 La 3.50
La (0.9023, 0.2587, 0.2929)  3 Br 3.08-3.19
La (0.7884, 0.4256, 0.8490)  1 Br 3.21, 4 Pb 3.40-3.50, 1 La 3.50
La (0.9010, 0.1618, 0.9720)  2 Br 2.99-3.23, 2 Pb 3.34
La (0.5990, 0.6618, 0.4720)  2 Br 2.99-3.23, 2 Pb 3.34